# 1
## Sr3Si4 (PBE-GGA)

Data for a relaxed structure of Sr3Si4.

Cell and atoms, written as CIF:
```
data_Sr3Si4
_cell_length_a 4.019
_cell_length_b 4.785
_cell_length_c 9.814
_cell_angle_alpha 104.11
_cell_angle_beta 101.82
_cell_angle_gamma 90.00
_symmetry_space_group_name_H-M 'P 1'
_symmetry_Int_Tables_number 1
_symmetry_space_group_name_Hall 'P 1'
loop_
_atom_site_label
_atom_site_type_symbol
_atom_site_fract_x
_atom_site_fract_y
_atom_site_fract_z
_atom_site_occupancy
Sr1 Sr 0.500 0.000 0.000 1
Sr2 Sr 0.183 0.183 0.367 1
Sr3 Sr 0.817 0.817 0.633 1
Si1 Si 0.065 0.565 0.130 1
Si2 Si 0.935 0.435 0.870 1
Si3 Si 0.638 0.638 0.275 1
Si4 Si 0.362 0.362 0.725 1
```

Values from the calculation:
* SG: Immm (71)
* formation energy (no corrections): -0.4212 eV/atom
* DOS(E_F): 0.590 states/eV per atom

# 2
## Sr3Si5 (PBE-GGA)

Data for a relaxed structure of Sr3Si5.

Cell and atoms, written as CIF:
```
data_Sr3Si5
_cell_length_a 6.154
_cell_length_b 7.770
_cell_length_c 9.833
_cell_angle_alpha 82.88
_cell_angle_beta 71.76
_cell_angle_gamma 66.67
_symmetry_space_group_name_H-M 'P 1'
_symmetry_Int_Tables_number 1
_symmetry_space_group_name_Hall 'P 1'
loop_
_atom_site_label
_atom_site_type_symbol
_atom_site_fract_x
_atom_site_fract_y
_atom_site_fract_z
_atom_site_occupancy
Sr1 Sr 0.000 0.399 0.660 1
Sr2 Sr 0.601 0.399 0.340 1
Sr3 Sr 0.910 0.899 0.840 1
Sr4 Sr 0.191 0.899 0.160 1
Sr5 Sr 0.556 0.888 0.500 1
Sr6 Sr 0.306 0.388 0.000 1
Si1 Si 0.498 0.722 0.840 1
Si2 Si 0.780 0.722 0.160 1
Si3 Si 0.587 0.222 0.660 1
Si4 Si 0.191 0.222 0.340 1
Si5 Si 0.604 0.054 0.182 1
Si6 Si 0.342 0.054 0.818 1
Si7 Si 0.036 0.554 0.318 1
Si8 Si 0.410 0.554 0.682 1
Si9 Si 0.977 0.046 0.500 1
Si10 Si 0.727 0.546 0.000 1
```

Values from the calculation:
* SG: Fdd2 (43)
* formation energy (no corrections): -0.3645 eV/atom
* DOS(E_F): 0.354 states/eV per atom

# 3
## SrSi2 (PBE-GGA)

Data for a relaxed structure of SrSi2.

Cell and atoms, written as CIF:
```
data_SrSi2
_cell_length_a 7.606
_cell_length_b 7.606
_cell_length_c 7.606
_cell_angle_alpha 145.88
_cell_angle_beta 145.88
_cell_angle_gamma 49.02
_symmetry_space_group_name_H-M 'P 1'
_symmetry_Int_Tables_number 1
_symmetry_space_group_name_Hall 'P 1'
loop_
_atom_site_label
_atom_site_type_symbol
_atom_site_fract_x
_atom_site_fract_y
_atom_site_fract_z
_atom_site_occupancy
Si1 Si 0.584 0.584 0.000 1
Si2 Si 0.334 0.834 0.500 1
Si3 Si 0.166 0.666 0.500 1
Si4 Si 0.416 0.416 0.000 1
Sr1 Sr 0.000 0.000 0.000 1
Sr2 Sr 0.750 0.250 0.500 1
```

Values from the calculation:
* SG: I4_1/amd (141)
* formation energy (no corrections): -0.3667 eV/atom
* DOS(E_F): 0.351 states/eV per atom

# 4
## Sr2Si (PBE-GGA)

Data for a relaxed structure of Sr2Si.

Cell and atoms, written as CIF:
```
data_Sr2Si
_cell_length_a 7.823
_cell_length_b 7.823
_cell_length_c 7.823
_cell_angle_alpha 151.52
_cell_angle_beta 151.52
_cell_angle_gamma 40.71
_symmetry_space_group_name_H-M 'P 1'
_symmetry_Int_Tables_number 1
_symmetry_space_group_name_Hall 'P 1'
loop_
_atom_site_label
_atom_site_type_symbol
_atom_site_fract_x
_atom_site_fract_y
_atom_site_fract_z
_atom_site_occupancy
Sr1 Sr 0.877 0.877 0.000 1
Sr2 Sr 0.123 0.123 0.000 1
Si1 Si 0.500 0.500 0.000 1
```

Values from the calculation:
* SG: I4/mmm (139)
* formation energy (no corrections): -0.1719 eV/atom
* DOS(E_F): 0.815 states/eV per atom

# 5
## SrSi2 (PBE-GGA)

Data for a relaxed structure of SrSi2.

Cell and atoms, written as CIF:
```
data_SrSi2
_cell_length_a 6.316
_cell_length_b 6.316
_cell_length_c 7.227
_cell_angle_alpha 55.19
_cell_angle_beta 55.19
_cell_angle_gamma 37.15
_symmetry_space_group_name_H-M 'P 1'
_symmetry_Int_Tables_number 1
_symmetry_space_group_name_Hall 'P 1'
loop_
_atom_site_label
_atom_site_type_symbol
_atom_site_fract_x
_atom_site_fract_y
_atom_site_fract_z
_atom_site_occupancy
Sr1 Sr 0.942 0.942 0.808 1
Sr2 Sr 0.058 0.058 0.192 1
Si1 Si 0.318 0.318 0.606 1
Si2 Si 0.681 0.681 0.746 1
Si3 Si 0.682 0.682 0.394 1
Si4 Si 0.319 0.319 0.254 1
```

Values from the calculation:
* SG: C2/m (12)
* formation energy (no corrections): -0.2562 eV/atom
* DOS(E_F): 0.331 states/eV per atom

# 6
## SrSi2 (PBE-GGA)

Data for a relaxed structure of SrSi2.

Cell and atoms, written as CIF:
```
data_SrSi2
_cell_length_a 3.811
_cell_length_b 6.159
_cell_length_c 7.277
_cell_angle_alpha 90.00
_cell_angle_beta 90.00
_cell_angle_gamma 90.00
_symmetry_space_group_name_H-M 'P 1'
_symmetry_Int_Tables_number 1
_symmetry_space_group_name_Hall 'P 1'
loop_
_atom_site_label
_atom_site_type_symbol
_atom_site_fract_x
_atom_site_fract_y
_atom_site_fract_z
_atom_site_occupancy
Sr1 Sr 0.000 0.000 0.000 1
Sr2 Sr 0.500 0.500 0.500 1
Si1 Si 0.749 0.000 0.407 1
Si2 Si 0.251 0.000 0.593 1
Si3 Si 0.249 0.500 0.093 1
Si4 Si 0.751 0.500 0.907 1
```

Values from the calculation:
* SG: Pnnm (58)
* formation energy (no corrections): 0.0561 eV/atom
* DOS(E_F): 0.766 states/eV per atom

# 7
## SrSi2 (PBE-GGA)

Data for a relaxed structure of SrSi2.

Cell and atoms, written as CIF:
```
data_SrSi2
_cell_length_a 4.243
_cell_length_b 9.248
_cell_length_c 7.764
_cell_angle_alpha 90.00
_cell_angle_beta 90.00
_cell_angle_gamma 90.00
_symmetry_space_group_name_H-M 'P 1'
_symmetry_Int_Tables_number 1
_symmetry_space_group_name_Hall 'P 1'
loop_
_atom_site_label
_atom_site_type_symbol
_atom_site_fract_x
_atom_site_fract_y
_atom_site_fract_z
_atom_site_occupancy
Si1 Si 0.250 0.014 0.716 1
Si2 Si 0.750 0.486 0.216 1
Si3 Si 0.250 0.514 0.784 1
Si4 Si 0.750 0.986 0.284 1
Si5 Si 0.250 0.068 0.416 1
Si6 Si 0.750 0.432 0.916 1
Si7 Si 0.250 0.568 0.084 1
Si8 Si 0.750 0.932 0.584 1
Sr1 Sr 0.250 0.714 0.434 1
Sr2 Sr 0.750 0.786 0.934 1
Sr3 Sr 0.250 0.214 0.066 1
Sr4 Sr 0.750 0.286 0.566 1
```

Values from the calculation:
* SG: Pnma (62)
* formation energy (no corrections): -0.2892 eV/atom
* DOS(E_F): 0.156 states/eV per atom

# 8
## Sr2Si (PBE-GGA)

Data for a relaxed structure of Sr2Si.

Cell and atoms, written as CIF:
```
data_Sr2Si
_cell_length_a 6.653
_cell_length_b 6.653
_cell_length_c 6.653
_cell_angle_alpha 60.00
_cell_angle_beta 60.00
_cell_angle_gamma 60.00
_symmetry_space_group_name_H-M 'P 1'
_symmetry_Int_Tables_number 1
_symmetry_space_group_name_Hall 'P 1'
loop_
_atom_site_label
_atom_site_type_symbol
_atom_site_fract_x
_atom_site_fract_y
_atom_site_fract_z
_atom_site_occupancy
Sr1 Sr 0.625 0.125 0.125 1
Sr2 Sr 0.125 0.125 0.625 1
Sr3 Sr 0.125 0.125 0.125 1
Sr4 Sr 0.125 0.625 0.125 1
Si1 Si 0.500 0.500 0.500 1
Si2 Si 0.750 0.750 0.750 1
```

Values from the calculation:
* SG: Fd-3m (227)
* formation energy (no corrections): 0.7709 eV/atom
* DOS(E_F): 1.232 states/eV per atom

# 9
## Sr3Si2 (PBE-GGA)

Data for a relaxed structure of Sr3Si2.

Cell and atoms, written as CIF:
```
data_Sr3Si2
_cell_length_a 5.409
_cell_length_b 5.409
_cell_length_c 6.624
_cell_angle_alpha 90.00
_cell_angle_beta 90.00
_cell_angle_gamma 120.00
_symmetry_space_group_name_H-M 'P 1'
_symmetry_Int_Tables_number 1
_symmetry_space_group_name_Hall 'P 1'
loop_
_atom_site_label
_atom_site_type_symbol
_atom_site_fract_x
_atom_site_fract_y
_atom_site_fract_z
_atom_site_occupancy
Sr1 Sr 0.000 0.000 0.000 1
Sr2 Sr 0.667 0.333 0.683 1
Sr3 Sr 0.333 0.667 0.317 1
Si1 Si 0.667 0.333 0.190 1
Si2 Si 0.333 0.667 0.810 1
```

Values from the calculation:
* SG: P-3m1 (164)
* formation energy (no corrections): -0.1744 eV/atom
* DOS(E_F): 1.377 states/eV per atom

# 10
## SrSi3 (PBE-GGA)

Data for a relaxed structure of SrSi3.

Cell and atoms, written as CIF:
```
data_SrSi3
_cell_length_a 4.701
_cell_length_b 5.960
_cell_length_c 5.998
_cell_angle_alpha 90.00
_cell_angle_beta 90.00
_cell_angle_gamma 90.00
_symmetry_space_group_name_H-M 'P 1'
_symmetry_Int_Tables_number 1
_symmetry_space_group_name_Hall 'P 1'
loop_
_atom_site_label
_atom_site_type_symbol
_atom_site_fract_x
_atom_site_fract_y
_atom_site_fract_z
_atom_site_occupancy
Sr1 Sr 0.000 0.000 0.608 1
Sr2 Sr 0.500 0.500 0.392 1
Si1 Si 0.500 0.000 0.179 1
Si2 Si 0.000 0.500 0.821 1
Si3 Si 0.000 0.787 0.113 1
Si4 Si 0.000 0.213 0.113 1
Si5 Si 0.500 0.287 0.887 1
Si6 Si 0.500 0.713 0.887 1
```

Values from the calculation:
* SG: Pmmn (59)
* formation energy (no corrections): -0.0968 eV/atom
* DOS(E_F): 0.375 states/eV per atom